(1)
Below is Tb8GaRu2 after structural relaxation, with properties calculated at the GGA-PBE level.

Calculated values
As for the space-group type: Cm. The formation energy is -0.22 eV/atom.

Cell lengths 5.4895, 7.8221, 7.8221 Å; angles 112.54, 97.75, 97.75 degrees
Fractional coordinates of all 11 atoms:
1 Ru 0.5001 0.6915 0.3148
2 Ru 0.5001 0.3148 0.6915
3 Tb 0.5849 0.3316 0.0695
4 Tb 0.5849 0.0695 0.3316
5 Tb 0.1967 0.3807 0.3807
6 Tb 0.9997 0.2436 0.7617
7 Tb 0.9997 0.7617 0.2436
8 Tb 0.8035 0.6264 0.6264
9 Tb 0.4141 0.9365 0.6742
10 Tb 0.4141 0.6742 0.9365
11 Ga 0.0017 0.0034 0.0034

***

(2)
Below is HfMo after structural relaxation, with properties calculated at the GGA-PBE level.

Calculated values
As for the space-group type: I4_1/amd. The energy above the most stable polymorph in this dataset comes out at 202.5 meV per atom. The formation energy is 0.10 eV/atom.

Cell lengths 6.6459, 6.6459, 6.6433 Å; angles 90.00, 90.00, 90.00 degrees
Fractional coordinates of all 16 atoms:
1 Hf 0.0000 0.2500 0.1250
2 Hf 0.0000 0.7500 0.1250
3 Hf 0.7500 0.0000 0.8750
4 Hf 0.7500 0.5000 0.3750
5 Hf 0.2500 0.5000 0.3750
6 Hf 0.2500 0.0000 0.8750
7 Hf 0.5000 0.7500 0.6250
8 Hf 0.5000 0.2500 0.6250
9 Mo 0.0000 0.2500 0.6250
10 Mo 0.0000 0.7500 0.6250
11 Mo 0.7500 0.0000 0.3750
12 Mo 0.7500 0.5000 0.8750
13 Mo 0.2500 0.5000 0.8750
14 Mo 0.2500 0.0000 0.3750
15 Mo 0.5000 0.7500 0.1250
16 Mo 0.5000 0.2500 0.1250

***

(3)
Below is Na2BeF5 after structural relaxation, with properties calculated at the GGA-PBE level.

Calculated values
As for the space-group type: C2/c. The value obtained for the raw formation energy is -2.552 eV/atom.

Cell lengths 5.8498, 5.8498, 7.9999 Å; angles 68.58, 68.58, 90.00 degrees
Each line ends with the local moment (μB).
Fractional coordinates of all 16 atoms:
1 Na 0.5000 0.0000 0.0000  0.00
2 Na 0.5000 0.5000 0.0000  0.00
3 Na 0.5000 0.5000 0.5000  0.00
4 Na 0.0000 0.5000 0.5000  0.00
5 Be 0.8758 0.1242 0.2500  -0.01
6 Be 0.1242 0.8758 0.7500  -0.01
7 F 0.6250 0.3750 0.7500  0.25
8 F 0.3750 0.6250 0.2500  0.25
9 F 0.2805 0.8106 0.8789  0.17
10 F 0.8111 0.8389 0.3778  0.16
11 F 0.8106 0.2805 0.3789  0.17
12 F 0.1611 0.1889 0.1222  0.16
13 F 0.8389 0.8111 0.8778  0.16
14 F 0.1889 0.1611 0.6222  0.16
15 F 0.1894 0.7195 0.6211  0.17
16 F 0.7195 0.1894 0.1211  0.17

***

(4)
Below is LaEuLu2 after structural relaxation, with properties calculated at the GGA-PBE level.

Calculated values
As for the space-group type: P4/mmm. The energy above the most stable polymorph in this dataset comes out at 0.0 meV per atom. The formation energy is 0.09 eV/atom.

Cell lengths 3.6907, 3.6907, 9.9078 Å; angles 90.00, 90.00, 90.00 degrees
Each line ends with the local moment (μB).
Fractional coordinates of all 4 atoms:
1 Eu 0.5000 0.5000 0.0000  -6.94
2 Lu 0.0000 0.0000 0.7420  -0.10
3 Lu 0.0000 0.0000 0.2580  -0.10
4 La 0.5000 0.5000 0.5000  0.03

***

(5)
Below is LiMgZr2 after structural relaxation, with properties calculated at the GGA-PBE level.

Calculated values
As for the space-group type: Pmm2. The formation energy is 0.14 eV/atom.

Cell lengths 3.1913, 4.1751, 6.5902 Å; angles 90.00, 90.00, 90.00 degrees
Fractional coordinates of all 4 atoms:
1 Li 0.0000 0.0000 0.5075
2 Mg 0.5000 0.5000 0.7420
3 Zr 0.0000 0.0000 0.0085
4 Zr 0.5000 0.5000 0.2420

***

(6)
Below is AlTl2Cl6 after structural relaxation, with properties calculated at the GGA-PBE level.

Calculated values
As for the space-group type: C2/m. The value obtained for the raw formation energy is -1.093 eV/atom.

Cell lengths 6.9010, 6.9984, 6.9984 Å; angles 60.11, 62.19, 62.19 degrees
Fractional coordinates of all 9 atoms:
1 Al 0.0000 0.0000 0.0000
2 Tl 0.7770 0.7457 0.7457
3 Tl 0.2230 0.2543 0.2543
4 Cl 0.1825 0.2840 0.8127
5 Cl 0.3062 0.7804 0.7804
6 Cl 0.1825 0.8127 0.2840
7 Cl 0.8175 0.7160 0.1873
8 Cl 0.6938 0.2196 0.2196
9 Cl 0.8175 0.1873 0.7160

***

DOS(E_F) (states/eV per cell)
10.56; 23.65; 25.88; 6.34; 4.77; 8.02
Magnetic moment (μB per formula unit)
0.00; 0.00; 1.03; 7.61; 0.00; 0.00